A plane-wave DFT calculation with PBE with a Hubbard U was carried out for a relaxed structure of TaMnO4.

Properties
total magnetic moment = 0.6667 μB/atom
electronic total energy = -8.830 eV/atom

Cell and atoms, written as CIF:
```
data_TaMnO4
_chemical_formula_sum 'Ta2 Mn2 O8'
_cell_length_a 4.713
_cell_length_b 5.771
_cell_length_c 5.040
_cell_angle_alpha 90.00
_cell_angle_beta 92.24
_cell_angle_gamma 90.00
_symmetry_space_group_name_H-M 'P 1 2/c 1'
_symmetry_Int_Tables_number 13
_symmetry_space_group_name_Hall '-P 2yc'
loop_
_atom_site_label
_atom_site_fract_x
_atom_site_fract_y
_atom_site_fract_z
Ta1 0.000 0.167 0.250
Mn1 0.500 0.341 0.750
O1 0.221 0.113 0.929
O2 0.271 0.375 0.426
```